## i
ScBe2Pt2 | GGA-PBE | relaxed

Cell lengths 6.9475, 6.9475, 2.7625 Å; angles 90.00, 90.00, 90.00 degrees
Last column: nearest neighbours and their distance in Å.
Atoms (fractional coordinates):
Sc1 0.0000 0.0000 0.0000  2 Sc 2.76, 4 Be 2.79, 8 Pt 2.91
Sc2 0.5000 0.5000 0.0000  2 Sc 2.76, 4 Be 2.79, 8 Pt 2.91
Be1 0.1155 0.3845 0.0000  1 Be 2.27, 6 Pt 2.47-2.49
Be2 0.3845 0.8845 0.0000  1 Be 2.27, 6 Pt 2.47-2.49
Be3 0.6155 0.1155 0.0000  1 Be 2.27, 6 Pt 2.47-2.49
Be4 0.8845 0.6155 0.0000  1 Be 2.27, 6 Pt 2.47-2.49
Pt1 0.1762 0.6762 0.5000  6 Be 2.47-2.49, 2 Pt 2.76
Pt2 0.3238 0.1762 0.5000  6 Be 2.47-2.49, 2 Pt 2.76
Pt3 0.6762 0.8238 0.5000  6 Be 2.47-2.49, 2 Pt 2.76
Pt4 0.8238 0.3238 0.5000  6 Be 2.47-2.49, 2 Pt 2.76

---

## ii
ScBe2Pt2 | GGA-PBE | relaxed

Cell lengths 3.5753, 3.5753, 11.2963 Å; angles 90.00, 90.00, 90.00 degrees
Last column: nearest neighbours and their distance in Å.
Atoms (fractional coordinates):
Sc1 0.0000 0.0000 0.0000  8 Pt 2.87
Sc2 0.5000 0.5000 0.5000  8 Pt 2.87
Be1 0.0000 0.5000 0.2500  4 Pt 2.31, 4 Be 2.53
Be2 0.0000 0.5000 0.7500  4 Pt 2.31, 4 Be 2.53
Be3 0.5000 0.0000 0.2500  4 Pt 2.31, 4 Be 2.53
Be4 0.5000 0.0000 0.7500  4 Pt 2.31, 4 Be 2.53
Pt1 0.0000 0.0000 0.3793  4 Be 2.31
Pt2 0.0000 0.0000 0.6207  4 Be 2.31
Pt3 0.5000 0.5000 0.1207  4 Be 2.31
Pt4 0.5000 0.5000 0.8793  4 Be 2.31

---

Verdict on stability: i comes out on top.

---

## i
SmBePt | GGA-PBE | relaxed

Cell lengths 6.4345, 6.4345, 6.4345 Å; angles 90.00, 90.00, 90.00 degrees
Last column: nearest neighbours and their distance in Å.
Atoms (fractional coordinates):
Sm1 0.0000 0.0000 0.0000  4 Pt 2.79
Sm2 0.0000 0.5000 0.5000  4 Pt 2.79
Sm3 0.5000 0.0000 0.5000  4 Pt 2.79
Sm4 0.5000 0.5000 0.0000  4 Pt 2.79
Be1 0.0000 0.0000 0.5000  4 Pt 2.79
Be2 0.0000 0.5000 0.0000  4 Pt 2.79
Be3 0.5000 0.0000 0.0000  4 Pt 2.79
Be4 0.5000 0.5000 0.5000  4 Pt 2.79
Pt1 0.2500 0.2500 0.7500  4 Be 2.79, 4 Sm 2.79
Pt2 0.2500 0.7500 0.2500  4 Be 2.79, 4 Sm 2.79
Pt3 0.7500 0.2500 0.2500  4 Be 2.79, 4 Sm 2.79
Pt4 0.7500 0.7500 0.7500  4 Be 2.79, 4 Sm 2.79

---

## ii
SmBePt | GGA-PBE | relaxed

Cell lengths 6.5786, 6.5786, 6.5786 Å; angles 90.00, 90.00, 90.00 degrees
Last column: nearest neighbours and their distance in Å.
Atoms (fractional coordinates):
Sm1 0.0000 0.0000 0.0000  4 Be 2.85, 4 Pt 2.85
Sm2 0.0000 0.5000 0.5000  4 Be 2.85, 4 Pt 2.85
Sm3 0.5000 0.0000 0.5000  4 Be 2.85, 4 Pt 2.85
Sm4 0.5000 0.5000 0.0000  4 Be 2.85, 4 Pt 2.85
Be1 0.2500 0.2500 0.7500  4 Sm 2.85
Be2 0.2500 0.7500 0.2500  4 Sm 2.85
Be3 0.7500 0.2500 0.2500  4 Sm 2.85
Be4 0.7500 0.7500 0.7500  4 Sm 2.85
Pt1 0.2500 0.2500 0.2500  4 Sm 2.85
Pt2 0.2500 0.7500 0.7500  4 Sm 2.85
Pt3 0.7500 0.2500 0.7500  4 Sm 2.85
Pt4 0.7500 0.7500 0.2500  4 Sm 2.85

---

## iii
SmBePt | GGA-PBE | relaxed

Cell lengths 6.1649, 6.1649, 6.1649 Å; angles 90.00, 90.00, 90.00 degrees
Last column: nearest neighbours and their distance in Å.
Atoms (fractional coordinates):
Sm1 0.0000 0.0000 0.0000  4 Be 2.67
Sm2 0.0000 0.5000 0.5000  4 Be 2.67
Sm3 0.5000 0.0000 0.5000  4 Be 2.67
Sm4 0.5000 0.5000 0.0000  4 Be 2.67
Be1 0.2500 0.2500 0.7500  4 Pt 2.67, 4 Sm 2.67
Be2 0.2500 0.7500 0.2500  4 Pt 2.67, 4 Sm 2.67
Be3 0.7500 0.2500 0.2500  4 Pt 2.67, 4 Sm 2.67
Be4 0.7500 0.7500 0.7500  4 Pt 2.67, 4 Sm 2.67
Pt1 0.0000 0.0000 0.5000  4 Be 2.67
Pt2 0.0000 0.5000 0.0000  4 Be 2.67
Pt3 0.5000 0.0000 0.0000  4 Be 2.67
Pt4 0.5000 0.5000 0.5000  4 Be 2.67

---

Verdict on stability: i comes out on top.

---

## i
SrBeSnPt | GGA-PBE | relaxed

Cell lengths 6.9624, 6.9624, 6.9624 Å; angles 90.00, 90.00, 90.00 degrees
Last column: nearest neighbours and their distance in Å.
Atoms (fractional coordinates):
Sr1 0.0000 0.0000 0.0000  4 Sn 3.01, 4 Pt 3.01
Sr2 0.0000 0.5000 0.5000  4 Sn 3.01, 4 Pt 3.01
Sr3 0.5000 0.0000 0.5000  4 Sn 3.01, 4 Pt 3.01
Sr4 0.5000 0.5000 0.0000  4 Sn 3.01, 4 Pt 3.01
Be1 0.0000 0.0000 0.5000  4 Sn 3.01, 4 Pt 3.01
Be2 0.0000 0.5000 0.0000  4 Sn 3.01, 4 Pt 3.01
Be3 0.5000 0.0000 0.0000  4 Sn 3.01, 4 Pt 3.01
Be4 0.5000 0.5000 0.5000  4 Sn 3.01, 4 Pt 3.01
Sn1 0.2500 0.2500 0.2500  4 Be 3.01, 4 Sr 3.01
Sn2 0.2500 0.7500 0.7500  4 Be 3.01, 4 Sr 3.01
Sn3 0.7500 0.2500 0.7500  4 Be 3.01, 4 Sr 3.01
Sn4 0.7500 0.7500 0.2500  4 Be 3.01, 4 Sr 3.01
Pt1 0.2500 0.2500 0.7500  4 Be 3.01, 4 Sr 3.01
Pt2 0.2500 0.7500 0.2500  4 Be 3.01, 4 Sr 3.01
Pt3 0.7500 0.2500 0.2500  4 Be 3.01, 4 Sr 3.01
Pt4 0.7500 0.7500 0.7500  4 Be 3.01, 4 Sr 3.01

---

## ii
SrBeSnPt | GGA-PBE | relaxed

Cell lengths 6.9063, 6.9063, 6.9063 Å; angles 90.00, 90.00, 90.00 degrees
Last column: nearest neighbours and their distance in Å.
Atoms (fractional coordinates):
Sr1 0.0000 0.0000 0.0000  4 Be 2.99, 4 Pt 2.99
Sr2 0.0000 0.5000 0.5000  4 Be 2.99, 4 Pt 2.99
Sr3 0.5000 0.0000 0.5000  4 Be 2.99, 4 Pt 2.99
Sr4 0.5000 0.5000 0.0000  4 Be 2.99, 4 Pt 2.99
Be1 0.2500 0.2500 0.7500  4 Sn 2.99, 4 Sr 2.99
Be2 0.2500 0.7500 0.2500  4 Sn 2.99, 4 Sr 2.99
Be3 0.7500 0.2500 0.2500  4 Sn 2.99, 4 Sr 2.99
Be4 0.7500 0.7500 0.7500  4 Sn 2.99, 4 Sr 2.99
Sn1 0.0000 0.0000 0.5000  4 Be 2.99, 4 Pt 2.99
Sn2 0.0000 0.5000 0.0000  4 Be 2.99, 4 Pt 2.99
Sn3 0.5000 0.0000 0.0000  4 Be 2.99, 4 Pt 2.99
Sn4 0.5000 0.5000 0.5000  4 Be 2.99, 4 Pt 2.99
Pt1 0.2500 0.2500 0.2500  4 Sn 2.99, 4 Sr 2.99
Pt2 0.2500 0.7500 0.7500  4 Sn 2.99, 4 Sr 2.99
Pt3 0.7500 0.2500 0.7500  4 Sn 2.99, 4 Sr 2.99
Pt4 0.7500 0.7500 0.2500  4 Sn 2.99, 4 Sr 2.99

---

Verdict on stability: ii comes out on top.